This record from Alexandria via LeMat-Bulk describes a relaxed Sr5In4Hg crystal. The functional is GGA-PBE.

```
Sr5In4Hg
1.0
4.0886 0.0000 0.0000
0.0000 4.0886 0.0000
0.0000 0.0000 20.0274
Sr In Hg
5 4 1
direct
0.0000 0.0000 0.0000
0.0000 0.0000 0.2006
0.0000 0.0000 0.4018
0.0000 0.0000 0.5982
0.0000 0.0000 0.7994
0.5000 0.5000 0.1014
0.5000 0.5000 0.2990
0.5000 0.5000 0.7010
0.5000 0.5000 0.8986
0.5000 0.5000 0.5000
```

- size of the total moment (μB per formula unit) = 0.000
- energy relative to the elements (eV per atom) = -0.452
- crystal system = tetragonal